! ZrSbW2 PBE-GGA relaxed; values from VASP
&SYSTEM
  ibrav = 0, nat = 4, ntyp = 3
/
ATOMIC_SPECIES
Sb 121.76 Sb.upf
W 183.84 W.upf
Zr 91.22 Zr.upf
CELL_PARAMETERS angstrom
5.4517 0.0043 0.0018
4.3316 3.3104 0.0018
1.9733 0.6686 4.1410
ATOMIC_POSITIONS crystal
Sb 0.7392 0.7392 0.7605
W 0.9885 0.9885 0.0120
W 0.2655 0.2655 0.2343
Zr 0.5069 0.5069 0.4932
! Size of the total moment, μB/f.u.: 0.0
! Symmetry: Imm2
! VASP energy, eV per atom: -9.46